(A)
VASP calculation (PBE) on a relaxed TbBeAl crystal.

It has space group F-43m (No. 216), with a = 6.189 Å, b = 6.189 Å, c = 6.189 Å, α = 90.00°, β = 90.00° and γ = 90.00°. Symmetry generates all atoms from Tb at (0.000, 0.000, 0.000), Be at (0.250, 0.250, 0.750) and Al at (0.000, 0.000, 0.500).

(B)
VASP calculation (PBE) on a relaxed TbBeAl crystal.

It has space group Cmcm (No. 63), with a = 3.657 Å, b = 15.685 Å, c = 4.089 Å, α = 90.00°, β = 90.00° and γ = 90.00°. Symmetry generates all atoms from Tb at (0.000, 0.098, 0.250), Be at (0.000, 0.460, 0.250) and Al at (0.000, 0.293, 0.250).

(C)
VASP calculation (PBE) on a relaxed TbBeAl crystal.

It has space group P-6m2 (No. 187), with a = 4.2915 Å, b = 4.2915 Å, c = 3.6153 Å, α = 90.00°, β = 90.00° and γ = 120.00°. Symmetry generates all atoms from Tb at (0.0000, 0.0000, 0.0000), Be at (0.3333, 0.6667, 0.5000) and Al at (0.6667, 0.3333, 0.5000).

Least stable of them? (B).

(A)
VASP calculation (PBE) on a relaxed BeAlTc2 crystal.

It has space group P2/m (No. 10), with a = 2.664 Å, b = 3.988 Å, c = 5.113 Å, α = 90.00°, β = 101.89° and γ = 90.00°. Symmetry generates all atoms from Be at (0.000, 0.000, 0.000), Al at (0.500, 0.000, 0.500) and Tc at (0.234, 0.500, 0.760).

(B)
VASP calculation (PBE) on a relaxed BeAlTc2 crystal.

It has space group I4/mmm (No. 139), with a = 3.708 Å, b = 3.708 Å, c = 7.769 Å, α = 90.00°, β = 90.00° and γ = 90.00°. Symmetry generates all atoms from Be at (0.000, 0.000, 0.000), Al at (0.000, 0.000, 0.500) and Tc at (0.000, 0.500, 0.250).

Least stable of them? (B).

(A)
VASP calculation (PBE) on a relaxed Be2Al2Tc crystal.

It has space group P4/mbm (No. 127), with a = 6.143 Å, b = 6.143 Å, c = 3.214 Å, α = 90.00°, β = 90.00° and γ = 90.00°. Symmetry generates all atoms from Be at (0.123, 0.377, 0.000), Al at (0.174, 0.674, 0.500) and Tc at (0.000, 0.000, 0.000).

(B)
VASP calculation (PBE) on a relaxed Be2Al2Tc crystal.

It has space group C2/m (No. 12), with a = 10.144 Å, b = 3.155 Å, c = 8.950 Å, α = 90.00°, β = 120.98° and γ = 90.00°. Symmetry generates all atoms from Be at (0.031, 0.000, 0.405), Be at (0.109, 0.000, 0.054), Al at (0.199, 0.000, 0.854), Al at (0.216, 0.500, 0.609) and Tc at (0.035, 0.500, 0.193).

Least stable of them? (A).